(1)
VASP calculation (PBE) on a relaxed structure of Ba3VAu.

abc: 6.3077 6.3077 6.3077
angles: 90.00 90.00 90.00
With the nearest neighbours (Å) after each atom.
Element x y z (fractional)
Au1 0.0000 0.0000 0.0000  6 Ba 3.15
Ba1 0.0000 0.5000 0.0000  2 Au 3.15
Ba2 0.0000 0.0000 0.5000  2 Au 3.15
Ba3 0.5000 0.0000 0.0000  2 Au 3.15
V1 0.5000 0.5000 0.5000  12 Ba 4.46

Calculated values
ΔH_f (0 K) = 343 meV per atom
energy = -16.4 eV per cell

---

(2)
VASP calculation (PBE) on a relaxed structure of AgH2Pb2.

abc: 3.6843 3.6843 7.1379
angles: 75.04 75.04 90.00
With the nearest neighbours (Å) after each atom.
Element x y z (fractional)
Pb1 0.3602 0.3602 0.2795  4 H 2.35
Pb2 0.6398 0.6398 0.7205  4 H 2.35
H1 0.2500 0.7500 0.5000  4 Pb 2.35, 4 H 2.61
H2 0.7500 0.2500 0.5000  4 Pb 2.35, 4 H 2.61
Ag1 0.0000 0.0000 0.0000  8 Pb 3.20

Calculated values
energy = -15.1 eV per cell

---

(3)
VASP calculation (PBE) on a relaxed structure of ZrOsSeN2.

abc: 3.8680 3.8680 5.1299
angles: 90.00 90.00 90.00
With the nearest neighbours (Å) after each atom.
Element x y z (fractional)
Zr1 0.5000 0.5000 0.5000  4 Se 2.74
N1 0.0000 0.5000 0.0000  2 Os 1.93
N2 0.5000 0.0000 0.0000  2 Os 1.93
Os1 0.0000 0.0000 0.0000  4 N 1.93
Se1 0.0000 0.0000 0.5000  2 Os 2.56, 4 Zr 2.74

Calculated values
formation energy (no corrections) = 377 meV per atom
energy = -38.0 eV per cell

---

So what do the calculations give for DOS(E_F)? Going down the list: 1.7463, 0.3042, 0.4986 states/eV per atom.